Entry 1:
## TlCdSeF (PBE)

Data for crystalline TlCdSeF at its relaxed geometry.

Properties
E above lowest polymorph ... 86 meV per atom
Mass density ... 6.83 Mg/m³

a = 4.0171 Å, b = 4.0171 Å, c = 12.5005 Å
α = 90.00°, β = 90.00°, γ = 90.00°
Closest atoms and distances in Å follow each position.
Atoms (fractional coordinates):
Tl  0.2500  0.2500  0.1171  4 F 2.49
Tl  0.7500  0.7500  0.8829  4 F 2.49
Cd  0.2500  0.2500  0.5974  5 Se 2.71-2.85
Cd  0.7500  0.7500  0.4026  5 Se 2.71-2.85
Se  0.2500  0.2500  0.3809  5 Cd 2.71-2.85
Se  0.7500  0.7500  0.6191  5 Cd 2.71-2.85
F  0.2500  0.7500  0.0000  4 Tl 2.49
F  0.7500  0.2500  0.0000  4 Tl 2.49



Entry 2:
## TlCdSeF (PBE)

Data for crystalline TlCdSeF at its relaxed geometry.

Properties
E above lowest polymorph ... 20 meV per atom
Mass density ... 7.32 Mg/m³

a = 6.8862 Å, b = 7.3784 Å, c = 7.4063 Å
α = 90.00°, β = 90.00°, γ = 90.00°
Closest atoms and distances in Å follow each position.
Atoms (fractional coordinates):
Tl  0.1667  0.1816  0.0817  2 F 2.64-2.78
Tl  0.3333  0.8184  0.5817  2 F 2.64-2.78
Tl  0.6667  0.3184  0.9183  2 F 2.64-2.78
Tl  0.8333  0.6816  0.4183  2 F 2.64-2.78
Cd  0.1557  0.3227  0.5679  2 F 2.34-2.46
Cd  0.3443  0.6773  0.0679  2 F 2.34-2.46
Cd  0.6557  0.1773  0.4321  2 F 2.34-2.46
Cd  0.8443  0.8227  0.9321  2 F 2.34-2.46
Se  0.0811  0.5531  0.8422  3 Cd 2.63-2.70
Se  0.4189  0.4469  0.3422  3 Cd 2.63-2.70
Se  0.5811  0.9469  0.1578  3 Cd 2.63-2.70
Se  0.9189  0.0531  0.6578  3 Cd 2.63-2.70
F  0.0751  0.8302  0.1856  2 Cd 2.34-2.46
F  0.4249  0.1698  0.6856  2 Cd 2.34-2.46
F  0.5751  0.6698  0.8144  2 Cd 2.34-2.46
F  0.9249  0.3302  0.3144  2 Cd 2.34-2.46



Entry 3:
## TlCdSeF (PBE)

Data for crystalline TlCdSeF at its relaxed geometry.

Properties
E above lowest polymorph ... 19 meV per atom
Mass density ... 7.10 Mg/m³

a = 6.9016 Å, b = 7.4969 Å, c = 7.5021 Å
α = 90.00°, β = 90.00°, γ = 90.00°
Closest atoms and distances in Å follow each position.
Atoms (fractional coordinates):
Tl  0.1985  0.0598  0.2522  2 F 2.66-2.88
Tl  0.3015  0.9402  0.7522  2 F 2.66-2.88
Tl  0.6985  0.4402  0.7478  2 F 2.66-2.88
Tl  0.8015  0.5598  0.2478  2 F 2.66-2.88
Cd  0.2245  0.4282  0.5917  2 F 2.33-2.39, 2 Se 2.56-2.57
Cd  0.2755  0.5718  0.0917  2 F 2.33-2.39, 2 Se 2.56-2.57
Cd  0.7245  0.0718  0.4083  2 F 2.33-2.39, 2 Se 2.56-2.57
Cd  0.7755  0.9282  0.9083  2 F 2.33-2.39, 2 Se 2.56-2.57
Se  0.1071  0.3330  0.9027  2 Cd 2.56-2.57
Se  0.3929  0.6670  0.4027  2 Cd 2.56-2.57
Se  0.6071  0.1670  0.0973  2 Cd 2.56-2.57
Se  0.8929  0.8330  0.5973  2 Cd 2.56-2.57
F  0.0562  0.8115  0.0355  2 Cd 2.33-2.39
F  0.4438  0.1885  0.5355  2 Cd 2.33-2.39
F  0.5562  0.6885  0.9645  2 Cd 2.33-2.39
F  0.9438  0.3115  0.4645  2 Cd 2.33-2.39



Entry 4:
## TlCdSeF (PBE)

Data for crystalline TlCdSeF at its relaxed geometry.

Properties
E above lowest polymorph ... 50 meV per atom
Mass density ... 7.73 Mg/m³

a = 12.4301 Å, b = 12.4301 Å, c = 12.4301 Å
α = 19.01°, β = 19.01°, γ = 19.01°
Closest atoms and distances in Å follow each position.
Atoms (fractional coordinates):
Tl  0.2017  0.2017  0.2017  3 Se 2.98
Tl  0.7983  0.7983  0.7983  3 Se 2.98
Cd  0.3746  0.3746  0.3746  4 F 2.24-2.50
Cd  0.6254  0.6254  0.6254  4 F 2.24-2.50
Se  0.0823  0.0823  0.0823  3 Cd 2.81, 3 Tl 2.98
Se  0.9177  0.9177  0.9177  3 Cd 2.81, 3 Tl 2.98
F  0.3135  0.3135  0.3135  4 Cd 2.24-2.50
F  0.6865  0.6865  0.6865  4 Cd 2.24-2.50



Entry 5:
## TlCdSeF (PBE)

Data for crystalline TlCdSeF at its relaxed geometry.

Properties
E above lowest polymorph ... 0 meV per atom
Mass density ... 6.95 Mg/m³

a = 11.9103 Å, b = 11.9103 Å, c = 11.9103 Å
α = 21.47°, β = 21.47°, γ = 21.47°
Closest atoms and distances in Å follow each position.
Atoms (fractional coordinates):
Tl  0.1234  0.1234  0.1234  4 F 2.47-2.62
Tl  0.8766  0.8766  0.8766  4 F 2.47-2.62
Cd  0.3023  0.3023  0.3023  4 Se 2.65-2.86
Cd  0.6977  0.6977  0.6977  4 Se 2.65-2.86
Se  0.3842  0.3842  0.3842  4 Cd 2.65-2.86
Se  0.6158  0.6158  0.6158  4 Cd 2.65-2.86
F  0.1943  0.1943  0.1943  4 Tl 2.47-2.62
F  0.8057  0.8057  0.8057  4 Tl 2.47-2.62



Entry 6:
## TlCdSeF (PBE)

Data for crystalline TlCdSeF at its relaxed geometry.

Properties
E above lowest polymorph ... 356 meV per atom
Mass density ... 8.19 Mg/m³

a = 4.1749 Å, b = 4.1749 Å, c = 9.6519 Å
α = 90.00°, β = 90.00°, γ = 90.00°
Closest atoms and distances in Å follow each position.
Atoms (fractional coordinates):
Tl  0.2500  0.7500  0.0000  4 Tl 2.95, 4 Se 3.19
Tl  0.7500  0.2500  0.0000  4 Tl 2.95, 4 Se 3.19
Cd  0.2500  0.2500  0.3740  4 F 2.42
Cd  0.7500  0.7500  0.6260  4 F 2.42
Se  0.2500  0.2500  0.7502  4 Cd 3.19, 4 Tl 3.19, 4 F 3.19
Se  0.7500  0.7500  0.2498  4 Cd 3.19, 4 Tl 3.19, 4 F 3.19
F  0.2500  0.7500  0.5000  4 Cd 2.42
F  0.7500  0.2500  0.5000  4 Cd 2.42



Entry 7:
## TlCdSeF (PBE)

Data for crystalline TlCdSeF at its relaxed geometry.

Properties
E above lowest polymorph ... 75 meV per atom
Mass density ... 6.24 Mg/m³

a = 10.1363 Å, b = 19.9922 Å, c = 4.3548 Å
α = 90.00°, β = 90.00°, γ = 90.00°
Closest atoms and distances in Å follow each position.
Atoms (fractional coordinates):
Tl  0.1692  0.2098  0.0000  2 F 2.53
Tl  0.2204  0.0382  0.0000  2 F 2.68
Tl  0.2796  0.5382  0.0000  2 F 2.68
Tl  0.3308  0.7098  0.0000  2 F 2.53
Tl  0.6692  0.2902  0.0000  2 F 2.53
Tl  0.7204  0.4618  0.0000  2 F 2.68
Tl  0.7796  0.9618  0.0000  2 F 2.68
Tl  0.8308  0.7902  0.0000  2 F 2.53
Cd  0.0089  0.4096  0.5000  2 F 2.30-2.33, 2 Se 2.56
Cd  0.1790  0.8572  0.5000  1 F 2.15
Cd  0.3210  0.3572  0.5000  1 F 2.15
Cd  0.4911  0.9096  0.5000  2 F 2.30-2.33, 2 Se 2.56
Cd  0.5089  0.0904  0.5000  2 F 2.30-2.33, 2 Se 2.56
Cd  0.6790  0.6428  0.5000  1 F 2.15
Cd  0.8210  0.1428  0.5000  1 F 2.15
Cd  0.9911  0.5904  0.5000  2 F 2.30-2.33, 2 Se 2.56
Se  0.0024  0.3426  0.0000  2 Cd 2.56
Se  0.0825  0.9046  0.0000  2 Cd 2.57
Se  0.4175  0.4046  0.0000  2 Cd 2.57
Se  0.4976  0.8426  0.0000  2 Cd 2.56
Se  0.5024  0.1574  0.0000  2 Cd 2.56
Se  0.5825  0.5954  0.0000  2 Cd 2.57
Se  0.9175  0.0954  0.0000  2 Cd 2.57
Se  0.9976  0.6574  0.0000  2 Cd 2.56
F  0.1422  0.5027  0.5000  2 Cd 2.30-2.33
F  0.2387  0.7541  0.5000  1 Cd 2.15
F  0.2613  0.2541  0.5000  1 Cd 2.15
F  0.3578  0.0027  0.5000  2 Cd 2.30-2.33
F  0.6422  0.9973  0.5000  2 Cd 2.30-2.33
F  0.7387  0.7459  0.5000  1 Cd 2.15
F  0.7613  0.2459  0.5000  1 Cd 2.15
F  0.8578  0.4973  0.5000  2 Cd 2.30-2.33



Entry 8:
## TlCdSeF (PBE)

Data for crystalline TlCdSeF at its relaxed geometry.

Properties
E above lowest polymorph ... 119 meV per atom
Mass density ... 7.00 Mg/m³

a = 9.8732 Å, b = 19.1097 Å, c = 4.1726 Å
α = 90.00°, β = 90.00°, γ = 90.00°
Closest atoms and distances in Å follow each position.
Atoms (fractional coordinates):
Tl  0.0373  0.2382  0.0000  2 F 2.80-3.06, 2 Se 3.08
Tl  0.2269  0.8688  0.0000  2 F 2.62-2.66, 2 Se 2.93
Tl  0.2731  0.3688  0.0000  2 F 2.62-2.66, 2 Se 2.93
Tl  0.4627  0.7382  0.0000  2 F 2.80-3.06, 2 Se 3.08
Tl  0.5373  0.2618  0.0000  2 F 2.80-3.06, 2 Se 3.08
Tl  0.7269  0.6312  0.0000  2 F 2.62-2.66, 2 Se 2.93
Tl  0.7731  0.1312  0.0000  2 F 2.62-2.66, 2 Se 2.93
Tl  0.9627  0.7618  0.0000  2 F 2.80-3.06, 2 Se 3.08
Cd  0.0655  0.5890  0.5000  2 F 2.26
Cd  0.1151  0.0775  0.5000  2 F 2.30
Cd  0.3849  0.5775  0.5000  2 F 2.30
Cd  0.4345  0.0890  0.5000  2 F 2.26
Cd  0.5655  0.9110  0.5000  2 F 2.26
Cd  0.6151  0.4225  0.5000  2 F 2.30
Cd  0.8849  0.9225  0.5000  2 F 2.30
Cd  0.9345  0.4110  0.5000  2 F 2.26
Se  0.2138  0.4718  0.5000  2 Cd 2.63-2.68, 2 Tl 2.93
Se  0.2490  0.6957  0.5000  2 Cd 2.63-2.73
Se  0.2510  0.1957  0.5000  2 Cd 2.63-2.73
Se  0.2862  0.9718  0.5000  2 Cd 2.63-2.68, 2 Tl 2.93
Se  0.7138  0.0282  0.5000  2 Cd 2.63-2.68, 2 Tl 2.93
Se  0.7490  0.8043  0.5000  2 Cd 2.63-2.73
Se  0.7510  0.3043  0.5000  2 Cd 2.63-2.73
Se  0.7862  0.5282  0.5000  2 Cd 2.63-2.68, 2 Tl 2.93
F  0.0055  0.3840  0.0000  2 Cd 2.26
F  0.0180  0.0785  0.0000  2 Cd 2.30
F  0.4820  0.5785  0.0000  2 Cd 2.30
F  0.4945  0.8840  0.0000  2 Cd 2.26
F  0.5055  0.1160  0.0000  2 Cd 2.26
F  0.5180  0.4215  0.0000  2 Cd 2.30
F  0.9820  0.9215  0.0000  2 Cd 2.30
F  0.9945  0.6160  0.0000  2 Cd 2.26



Entry 9:
## CdSnF6 (PBE)

Data for crystalline CdSnF6 at its relaxed geometry.

Properties
Mass density ... 5.42 Mg/m³
VASP energy ... -34.9 eV for the cell shown

a = 5.5920 Å, b = 5.5920 Å, c = 5.5920 Å
α = 53.81°, β = 53.81°, γ = 53.81°
Closest atoms and distances in Å follow each position.
Atoms (fractional coordinates):
Cd  0.0000  0.0000  0.0000  6 F 2.22
Sn  0.5000  0.5000  0.5000  6 F 1.99
F  0.0848  0.4513  0.7253  1 Sn 1.99, 1 Cd 2.22
F  0.2747  0.9152  0.5487  1 Sn 1.99, 1 Cd 2.22
F  0.4513  0.7253  0.0848  1 Sn 1.99, 1 Cd 2.22
F  0.5487  0.2747  0.9152  1 Sn 1.99, 1 Cd 2.22
F  0.7253  0.0848  0.4513  1 Sn 1.99, 1 Cd 2.22
F  0.9152  0.5487  0.2747  1 Sn 1.99, 1 Cd 2.22